# 1
# PBE-GGA Pr3Ho, relaxed
data_Pr3Ho
_cell_length_a 3.700
_cell_length_b 5.951
_cell_length_c 6.383
_cell_angle_alpha 90.00
_cell_angle_beta 90.00
_cell_angle_gamma 90.00
_space_group_name_H-M_alt 'P 1'
_space_group_IT_number 1
loop_
_space_group_symop_operation_xyz
'x,y,z'
loop_
_atom_site_label
_atom_site_type_symbol
_atom_site_fract_x
_atom_site_fract_y
_atom_site_fract_z
_atom_site_occupancy
Pr1 Pr 0.000 0.500 0.333 1
Pr2 Pr 0.500 0.000 0.499 1
Pr3 Pr 0.500 0.500 0.833 1
Ho1 Ho 0.000 0.000 0.001 1
# mass density: 6.944 g/cm3
# polymorph energy (0 for the lowest one): 22 meV per atom

---

# 2
# PBE-GGA Yb2PdAu, relaxed
data_Yb2PdAu
_cell_length_a 5.038
_cell_length_b 5.038
_cell_length_c 5.038
_cell_angle_alpha 60.00
_cell_angle_beta 60.00
_cell_angle_gamma 60.00
_space_group_name_H-M_alt 'P 1'
_space_group_IT_number 1
loop_
_space_group_symop_operation_xyz
'x,y,z'
loop_
_atom_site_label
_atom_site_type_symbol
_atom_site_fract_x
_atom_site_fract_y
_atom_site_fract_z
_atom_site_occupancy
Yb1 Yb 0.250 0.250 0.250 1
Yb2 Yb 0.750 0.750 0.750 1
Au1 Au 0.500 0.500 0.500 1
Pd1 Pd 0.000 0.000 0.000 1
# energy: -3.704 eV/atom
# mass density: 11.927 g/cm3

---

# 3
# PBE-GGA Ba3SrTl, relaxed
data_Ba3SrTl
_cell_length_a 4.363
_cell_length_b 10.504
_cell_length_c 11.988
_cell_angle_alpha 103.74
_cell_angle_beta 100.45
_cell_angle_gamma 90.01
_space_group_name_H-M_alt 'P 1'
_space_group_IT_number 1
loop_
_space_group_symop_operation_xyz
'x,y,z'
loop_
_atom_site_label
_atom_site_type_symbol
_atom_site_fract_x
_atom_site_fract_y
_atom_site_fract_z
_atom_site_occupancy
Ba1 Ba 0.611 0.915 0.478 1
Ba2 Ba 0.220 0.309 0.698 1
Ba3 Ba 0.412 0.425 0.084 1
Ba4 Ba 0.237 0.725 0.732 1
Ba5 Ba 0.418 0.800 0.091 1
Ba6 Ba 0.594 0.500 0.443 1
Sr1 Sr 0.820 0.069 0.901 1
Sr2 Sr 0.010 0.155 0.275 1
Tl1 Tl 0.018 0.672 0.292 1
Tl2 Tl 0.812 0.552 0.883 1
# mass density: 4.460 g/cm3
# polymorph energy (0 for the lowest one): 0 meV per atom

---

# 4
# PBE-GGA CdIn2S2, relaxed
data_CdIn2S2
_cell_length_a 7.855
_cell_length_b 7.855
_cell_length_c 3.716
_cell_angle_alpha 90.00
_cell_angle_beta 90.00
_cell_angle_gamma 90.00
_space_group_name_H-M_alt 'P 1'
_space_group_IT_number 1
loop_
_space_group_symop_operation_xyz
'x,y,z'
loop_
_atom_site_label
_atom_site_type_symbol
_atom_site_fract_x
_atom_site_fract_y
_atom_site_fract_z
_atom_site_occupancy
S1 S 0.344 0.844 0.000 1
S2 S 0.844 0.656 0.000 1
S3 S 0.656 0.156 0.000 1
S4 S 0.156 0.344 0.000 1
Cd1 Cd 0.000 0.000 0.000 1
Cd2 Cd 0.500 0.500 0.000 1
In1 In 0.153 0.653 0.500 1
In2 In 0.653 0.847 0.500 1
In3 In 0.847 0.347 0.500 1
In4 In 0.347 0.153 0.500 1
# formation energy without anion corrections: -0.0848 eV/atom
# mass density: 5.883 g/cm3

---

# 5
# PBE-GGA CePuTh6, relaxed
data_CePuTh6
_cell_length_a 4.973
_cell_length_b 4.973
_cell_length_c 9.888
_cell_angle_alpha 90.00
_cell_angle_beta 90.00
_cell_angle_gamma 90.00
_space_group_name_H-M_alt 'P 1'
_space_group_IT_number 1
loop_
_space_group_symop_operation_xyz
'x,y,z'
loop_
_atom_site_label
_atom_site_type_symbol
_atom_site_fract_x
_atom_site_fract_y
_atom_site_fract_z
_atom_site_occupancy
Ce1 Ce 0.000 0.000 0.500 1
Pu1 Pu 0.000 0.000 0.000 1
Th1 Th 0.500 0.500 0.000 1
Th2 Th 0.500 0.500 0.500 1
Th3 Th 0.500 0.000 0.248 1
Th4 Th 0.500 0.000 0.752 1
Th5 Th 0.000 0.500 0.248 1
Th6 Th 0.000 0.500 0.752 1
# energy: -8.056 eV/atom
# mass density: 12.064 g/cm3

---

# 6
# PBE-GGA Si2AsRh, relaxed
data_Si2AsRh
_cell_length_a 5.849
_cell_length_b 5.849
_cell_length_c 5.849
_cell_angle_alpha 152.06
_cell_angle_beta 136.39
_cell_angle_gamma 52.59
_space_group_name_H-M_alt 'P 1'
_space_group_IT_number 1
loop_
_space_group_symop_operation_xyz
'x,y,z'
loop_
_atom_site_label
_atom_site_type_symbol
_atom_site_fract_x
_atom_site_fract_y
_atom_site_fract_z
_atom_site_occupancy
As1 As 0.750 0.250 0.500 1
Rh1 Rh 0.250 0.750 0.500 1
Si1 Si 0.044 0.044 0.000 1
Si2 Si 0.456 0.456 0.000 1
# formation energy without anion corrections: 0.1292 eV/atom
# mass density: 6.037 g/cm3
# polymorph energy (0 for the lowest one): 341 meV per atom

---

no.,DOS at the Fermi energy (states/eV/f.u.)
1,7.1
2,29.4
3,5.5
4,2.2
5,16.9
6,2.3